1.
Below is a relaxed Gd2HoMg3Pt2Au crystal, with properties calculated at the PBE level.

```
9
Lattice="4.0505 0.0000 0.0000 0.0000 6.4692 3.7500 0.0000 -6.4692 3.7500" Properties=species:S:1:pos:R:3 pbc="T T T"
Au 0.0000 0.0000 0.0217
Gd 0.0000 3.7749 2.1882
Gd 0.0000 -3.7749 2.1882
Ho 0.0000 0.0000 3.1155
Mg 2.0253 1.6107 0.9460
Mg 2.0253 -1.6107 0.9460
Mg 2.0253 0.0000 5.6123
Pt 2.0253 2.1269 3.7407
Pt 2.0253 -2.1269 3.7407
```

## Properties
For the electronic total energy, the calculation gives -0.1703 Ha/atom.


2.
Below is a relaxed La2Ho2CBr2Cl3 crystal, with properties calculated at the PBE level.

```
10
Lattice="-3.7806 7.8611 2.0952 -5.8931 6.6952 -0.9618 -4.2238 -5.2852 4.9344" Properties=species:S:1:pos:R:3 pbc="T T T"
Br -3.0488 0.7932 1.8043
Br -10.8486 8.4779 4.2635
C -4.8369 7.2782 0.5667
Cl -8.5097 11.2752 1.5804
Cl -6.9487 4.6356 3.0339
Cl -5.3877 -2.0040 4.4874
Ho -6.4958 8.9333 1.0818
Ho -7.4016 0.3378 4.9860
La -10.5322 13.3610 2.1825
La -3.3653 -4.0899 3.8854
```

## Properties
For the electronic total energy, the calculation gives -0.1953 Ha/atom. The value obtained for the relative energy among the computed polymorphs is 0.00 eV/f.u.


3.
Below is a relaxed TbTmTeC crystal, with properties calculated at the PBE level.

```
8
Lattice="3.8135 0.0000 0.0000 -1.9067 3.3025 0.0000 0.0000 0.0000 13.9589" Properties=species:S:1:pos:R:3 pbc="T T T"
C 0.0000 0.0000 6.9520
C 0.0000 0.0000 13.9315
Tb 0.0000 2.2017 1.2958
Tb 1.9067 1.1008 8.2753
Te 1.9067 1.1008 3.5246
Te 0.0000 2.2017 10.5041
Tm 0.0000 2.2017 5.6762
Tm 1.9067 1.1008 12.6556
```

## Properties
For the electronic total energy, the calculation gives -0.2293 Ha/atom.


4.
Below is a relaxed TbAlInAu2 crystal, with properties calculated at the PBE level.

```
10
Lattice="4.3621 0.0000 0.0000 0.0000 4.3621 0.0000 0.0000 0.0000 11.3817" Properties=species:S:1:pos:R:3 pbc="T T T"
Al 0.0000 0.0000 5.6909
Al 2.1811 2.1811 5.6909
Au 0.0000 0.0000 0.0000
Au 2.1811 2.1811 0.0000
Au 2.1811 0.0000 4.3301
Au 0.0000 2.1811 7.0516
In 2.1811 0.0000 1.6748
In 0.0000 2.1811 9.7070
Tb 0.0000 2.1811 3.0480
Tb 2.1811 0.0000 8.3337
```

## Properties
For the electronic total energy, the calculation gives -0.1498 Ha/atom.